The following is a DFT calculation (PBE) of a relaxed Nd5Sm4Dy4 crystal.

The structure belongs to space group I4/m (No. 87); the cell edges are 13.087, 13.087 and 5.103 Å and the angles 90.00°, 90.00° and 90.00°. Symmetry generates all atoms from Nd at (0.000, 0.000, 0.000), Nd at (0.038, 0.195, 0.500), Sm at (0.155, 0.768, 0.000) and Dy at (0.076, 0.387, 0.000).

As for the total energy: -4.687 eV/atom. The formation energy from the elements comes out at 0.02 eV per atom.